Entry 1:
The following is a PBE calculation of a relaxed structure of NaSr2Pd, from Alexandria via LeMat-Bulk.

a b c (Å): 4.3682 4.3682 29.3758
angles (deg): 90.00 90.00 120.00
Last column: nearest neighbours and their distance in Å.
Positions (direct):
Na 0.0000 0.0000 0.0000  6 Sr 4.06-4.10, 6 Na 4.37
Na 0.3333 0.6667 0.6667  6 Sr 4.06-4.10, 6 Na 4.37
Na 0.6667 0.3333 0.3333  6 Sr 4.06-4.10, 6 Na 4.37
Sr 0.0000 0.0000 0.5566  3 Pd 3.04
Sr 0.0000 0.0000 0.7749  3 Pd 3.03
Sr 0.3333 0.6667 0.2232  3 Pd 3.04
Sr 0.3333 0.6667 0.4416  3 Pd 3.03
Sr 0.6667 0.3333 0.1083  3 Pd 3.03
Sr 0.6667 0.3333 0.8899  3 Pd 3.04
Pd 0.0000 0.0000 0.1654  6 Sr 3.03-3.04
Pd 0.3333 0.6667 0.8321  6 Sr 3.03-3.04
Pd 0.6667 0.3333 0.4988  6 Sr 3.03-3.04

## Properties
M_tot: 0.0 μB/f.u.
energy above the most stable polymorph in this dataset: 46 meV per atom
symmetry: R3m, No. 160
calculated total energy: -2.763 eV per atom
DOS(E_F): 6.8 states/eV/cell

Entry 2:
The following is a PBE calculation of a relaxed structure of Nd8Tm5In, from Alexandria via LeMat-Bulk.

a b c (Å): 8.5179 8.5179 9.0934
angles (deg): 121.03 121.03 63.66
Last column: nearest neighbours and their distance in Å.
Positions (direct):
Nd 0.0689 0.0689 0.4162  2 Nd 3.16-3.22, 2 Tm 3.22-3.34, 1 In 3.41
Nd 0.2065 0.3279 0.9547  4 Tm 3.34-3.67, 2 Nd 3.55-3.60
Nd 0.4556 0.1920 0.3486  1 In 3.35, 5 Nd 3.55-3.73, 2 Tm 3.59-3.71
Nd 0.5149 0.0132 0.6596  2 Nd 3.22-3.59, 1 In 3.25, 4 Tm 3.34-3.58
Nd 0.6721 0.7935 0.0453  4 Tm 3.34-3.67, 2 Nd 3.55-3.60
Nd 0.8080 0.5444 0.6514  1 In 3.35, 5 Nd 3.55-3.73, 2 Tm 3.59-3.71
Nd 0.9311 0.9311 0.5838  2 Nd 3.16-3.22, 2 Tm 3.22-3.34, 1 In 3.41
Nd 0.9868 0.4851 0.3404  2 Nd 3.22-3.59, 1 In 3.25, 4 Tm 3.34-3.58
Tm 0.0708 0.9292 0.0000  2 Nd 3.34, 4 Tm 3.47-3.48
Tm 0.3211 0.5098 0.7582  1 In 3.30, 3 Tm 3.32-3.50, 4 Nd 3.34-3.67
Tm 0.4902 0.6789 0.2418  1 In 3.30, 3 Tm 3.32-3.50, 4 Nd 3.34-3.67
Tm 0.6801 0.2178 0.1214  6 Nd 3.22-3.59, 3 Tm 3.32-3.47
Tm 0.7822 0.3199 0.8786  6 Nd 3.22-3.59, 3 Tm 3.32-3.47
In 0.3359 0.6641 0.5000  6 Nd 3.25-3.41, 2 Tm 3.30

## Properties
M_tot: 0.0 μB/f.u.
symmetry: C2, No. 5
calculated total energy: -4.411 eV per atom
DOS(E_F): 19.2 states/eV/cell